DFT (PBE) results for LiPaHgRh after structural relaxation.

Calculated values
formation energy from the elements	-0.750	eV/f.u.
E	-4.953	eV per atom

Cell and atoms, written as POSCAR:
```
LiPaHgRh
1.0
-4.7129 -0.5095 -0.2922
-2.0937 -0.3314 -4.2501
-1.8583 -4.1351 -1.4158
Pa Rh Hg Li
1 1 1 1
Cartesian
-4.3325 -2.4880 -2.9791 Pa
-2.1662 -1.2440 -1.4895 Rh
0.0000 0.0000 0.0000 Hg
-6.4987 -3.7320 -4.4686 Li
```